VASP calculation (PBE) on crystalline La2TaRh at its relaxed geometry.

**Crystal system**: cubic
**Energy of formation**: 0.20 eV per atom
**M_tot**: 0.0 μB/cell

abc: 7.0968 7.0968 7.0968
angles: 90.00 90.00 90.00
Last column: nearest neighbours and their distance in Å.
Space group F-43m (No. 216)
Inequivalent atoms, fractional coordinates:
La (0.0000, 0.0000, 0.0000) x4  4 Ta 3.07, 4 La 3.07
La (0.2500, 0.2500, 0.2500) x4  4 La 3.07, 4 Rh 3.07
Ta (0.2500, 0.2500, 0.7500) x4  4 La 3.07, 4 Rh 3.07
Rh (0.0000, 0.0000, 0.5000) x4  4 La 3.07, 4 Ta 3.07

***

VASP calculation (PBE) on crystalline MgCd2Ni at its relaxed geometry.

**Crystal system**: monoclinic
**Energy of formation**: 0.08 eV per atom
**M_tot**: 0.0 μB/cell

abc: 5.6793 9.1966 2.9538
angles: 90.00 110.39 90.00
Last column: nearest neighbours and their distance in Å.
Space group C2/m (No. 12)
Inequivalent atoms, fractional coordinates:
Mg (0.0000, 0.0000, 0.0000) x2  4 Cd 2.83, 2 Ni 2.84, 2 Mg 2.95
Cd (0.2500, 0.2500, 0.5000) x4  2 Ni 2.83, 2 Mg 2.83, 4 Cd 2.84-2.95
Ni (0.0000, 0.5000, 0.0000) x2  4 Cd 2.83, 2 Mg 2.84, 2 Ni 2.95

***

VASP calculation (PBE) on crystalline RbCd7Ag5 at its relaxed geometry.

**Crystal system**: orthorhombic
**Energy of formation**: -0.04 eV per atom
**M_tot**: 0.0 μB/cell

abc: 5.6471 10.2300 10.1301
angles: 90.00 90.00 90.00
Last column: nearest neighbours and their distance in Å.
Space group Imm2 (No. 44)
Inequivalent atoms, fractional coordinates:
Rb (0.0000, 0.0000, 0.0000) x2  10 Cd 3.51-3.67, 10 Ag 3.63-3.90
Cd (0.0000, 0.0000, 0.3463) x2  3 Cd 3.01-3.31, 6 Ag 3.08-3.09
Cd (0.0000, 0.0000, 0.6436) x2  5 Cd 3.01-3.28, 4 Ag 3.11
Cd (0.0000, 0.2860, 0.4982) x4  5 Ag 2.90-3.17, 3 Cd 3.16-3.19
Cd (0.0000, 0.3522, 0.9915) x4  4 Cd 3.02-3.19, 5 Ag 3.04-3.12
Cd (0.0000, 0.5000, 0.2690) x2  4 Ag 2.94, 6 Cd 3.10-3.19
Ag (0.0000, 0.5000, 0.7251) x2  4 Ag 2.92, 6 Cd 3.08-3.17
Ag (0.2500, 0.2492, 0.2458) x8  3 Ag 2.82-2.92, 7 Cd 2.90-3.12

***

VASP calculation (PBE) on crystalline Y2PuI at its relaxed geometry.

**Formation energy from raw total energies**: 0.2 eV/f.u.
**Crystal system**: trigonal
**M_tot**: 20.4 μB/cell

abc: 3.5974 3.5974 34.4984
angles: 90.00 90.00 120.00
Last column: nearest neighbours and their distance in Å.
Space group R-3m (No. 166, hexagonal axes)
Inequivalent atoms, fractional coordinates:
Y (0.0000, 0.0000, 0.0944) x6  3 I 3.24, 1 Pu 3.26, 6 Y 3.60
Pu (0.0000, 0.0000, 0.0000) x3  2 Y 3.26, 6 Pu 3.60
I (0.0000, 0.0000, 0.5000) x3  6 Y 3.24, 6 I 3.60

***

VASP calculation (PBE) on crystalline ZrCdSe2 at its relaxed geometry.

**Formation energy from raw total energies**: -2.6 eV/f.u.
**Crystal system**: tetragonal
**M_tot**: 0.0 μB/cell

abc: 3.9439 3.9439 5.8066
angles: 90.00 90.00 90.00
Last column: nearest neighbours and their distance in Å.
Space group P4mm (No. 99)
Inequivalent atoms, fractional coordinates:
Zr (0.0000, 0.0000, 0.0000) x1  6 Se 2.79-2.90
Cd (0.5000, 0.5000, 0.4991) x1  6 Se 2.79-2.90
Se (0.0000, 0.0000, 0.5003) x1  4 Cd 2.79, 2 Zr 2.90
Se (0.5000, 0.5000, 0.9993) x1  4 Zr 2.79, 2 Cd 2.90

***

VASP calculation (PBE) on crystalline KSiSb at its relaxed geometry.

**Formation energy from raw total energies**: 0.6 eV/f.u.
**Crystal system**: hexagonal
**M_tot**: 0.0 μB/cell

abc: 5.2346 5.2346 3.4745
angles: 90.00 90.00 120.00
Last column: nearest neighbours and their distance in Å.
Space group P-6m2 (No. 187)
Inequivalent atoms, fractional coordinates:
K (0.0000, 0.0000, 0.0000) x1  2 K 3.47, 6 Sb 3.49, 6 Si 3.49
Si (0.3333, 0.6667, 0.5000) x1  3 Sb 3.02
Sb (0.6667, 0.3333, 0.5000) x1  3 Si 3.02